Entry 1:
! La4Pm3Tm (PBE-GGA, optimized geometry); values from VASP
&SYSTEM
  ibrav = 0, nat = 16, ntyp = 3
/
ATOMIC_SPECIES
La 138.91 La.upf
Pm 145.00 Pm.upf
Tm 168.93 Tm.upf
CELL_PARAMETERS angstrom
25.6549 0.0000 0.0000
0.0000 3.5208 0.0000
-0.3784 0.0000 6.2677
ATOMIC_POSITIONS crystal
La 0.1047 0.0000 0.2313
La 0.2197 0.5000 0.2444
La 0.2803 0.0000 0.7556
La 0.3953 0.5000 0.7687
La 0.6047 0.5000 0.2313
La 0.7197 0.0000 0.2444
La 0.7803 0.5000 0.7556
La 0.8953 0.0000 0.7687
Pm 0.0000 0.0000 0.5000
Pm 0.1430 0.0000 0.7410
Pm 0.3570 0.5000 0.2590
Pm 0.5000 0.5000 0.5000
Pm 0.6430 0.5000 0.7410
Pm 0.8570 0.0000 0.2590
Tm 0.0000 0.5000 0.0000
Tm 0.5000 0.0000 0.0000
! DOS at the Fermi energy: 25.0 states/eV per cell
! Energy of formation: 0.20 eV per atom
! Energy above the most stable polymorph in this dataset: 0.1839 eV/atom

Entry 2:
! VHgGe (PBE-GGA, optimized geometry); values from VASP
&SYSTEM
  ibrav = 0, nat = 6, ntyp = 3
/
ATOMIC_SPECIES
V 50.94 V.upf
Hg 200.59 Hg.upf
Ge 72.64 Ge.upf
CELL_PARAMETERS angstrom
3.1335 0.0000 0.0000
0.0000 3.1335 0.0000
0.0000 0.0000 12.6895
ATOMIC_POSITIONS crystal
V 0.2500 0.2500 0.0533
V 0.7500 0.7500 0.9467
Hg 0.2500 0.2500 0.3806
Hg 0.7500 0.7500 0.6194
Ge 0.2500 0.2500 0.8418
Ge 0.7500 0.7500 0.1582
! DOS at the Fermi energy: 3.7 states/eV per cell
! Energy of formation: 0.00 eV per atom
! Energy above the most stable polymorph in this dataset: 0.0000 eV/atom